First-principles (PBEsol) data for crystalline SbIrS2 at its relaxed geometry, as listed in Alexandria.

The density of states at the Fermi level comes out at 0.418 states/eV per atom. For the size of the total moment, the calculation gives 0.000 μB per atom. The formation energy (no corrections) is 0.0 eV/f.u.

a = 6.962 Å, b = 6.962 Å, c = 5.911 Å
α = 90.00°, β = 90.00°, γ = 90.00°
Space group I-42d (No. 122)
One atom of each set of equivalent atoms:
Sb (0.000, 0.000, 0.000)
Ir (0.000, 0.000, 0.500)
S (0.191, 0.250, 0.625)